A plane-wave DFT calculation with PBE was carried out for Na2SrCrOs after structural relaxation.

Unit cell a=5.5257 b=4.6282 c=5.5257 alpha=90.00 beta=90.00 gamma=90.00
Last column: magnetic moment on the atom in μB.
Sites, in units of the cell vectors:
1 Os 0.0000 0.0000 0.0000  -0.42
2 Sr 0.5000 0.5000 0.5000  0.01
3 Na 0.5000 0.0000 0.0000  -0.01
4 Na 0.0000 0.0000 0.5000  0.00
5 Cr 0.0000 0.5000 0.0000  2.89

## Properties
VASP energy: -0.3076 Ry/atom
Symmetry: P4/mmm (123)
Calculated formation energy: 410 kJ/mol of formula units
Total magnetization: 3.0 μB/f.u.